PBE+U CsNb2MoO8, relaxed; E = -7.8150 eV/atom
1.0
-0.903 5.287 -2.491
-0.363 -4.912 -3.273
-8.173 -0.567 1.759
Cs O Mo Nb
1 8 1 2
Direct
0.000 0.000 0.000 Cs
0.842 0.154 0.361 O
0.158 0.846 0.639 O
0.688 0.842 0.639 O
0.667 0.333 0.078 O
0.312 0.158 0.361 O
0.154 0.312 0.639 O
0.846 0.688 0.361 O
0.333 0.667 0.922 O
0.000 0.000 0.500 Mo
0.333 0.667 0.710 Nb
0.667 0.333 0.290 Nb